No. 1
A plane-wave DFT calculation with PBE-GGA was carried out for crystalline Ac2Tb5Pr at its relaxed geometry.

Properties
SG = No. 139
energy relative to the elements = 46 meV per atom
volume = 283.4 Å³/f.u.
total magnetization = 0.00 Bohr magnetons per cell
mass density = 8.14 g cm⁻³

Lattice parameters (Å, degrees): 5.2812 5.2812 10.8252 104.12 104.12 90.00
Last column: nearest neighbours and their distance in Å.
Fractional positions:
Tb1 0.5000 0.5000 0.0000  8 Tb 3.59, 4 Pr 3.73
Tb2 0.8806 0.3806 0.7612  6 Tb 3.59-3.73, 2 Pr 3.59, 4 Ac 3.74-3.75
Tb3 0.3806 0.8806 0.7612  6 Tb 3.59-3.73, 2 Pr 3.59, 4 Ac 3.74-3.75
Tb4 0.6194 0.1194 0.2388  6 Tb 3.59-3.73, 2 Pr 3.59, 4 Ac 3.74-3.75
Tb5 0.1194 0.6194 0.2388  6 Tb 3.59-3.73, 2 Pr 3.59, 4 Ac 3.74-3.75
Ac1 0.7498 0.7498 0.4996  4 Ac 3.73, 8 Tb 3.74-3.75
Ac2 0.2502 0.2502 0.5004  4 Ac 3.73, 8 Tb 3.74-3.75
Pr1 0.0000 0.0000 0.0000  12 Tb 3.59-3.73


No. 2
A plane-wave DFT calculation with PBE-GGA was carried out for crystalline AlSe3S at its relaxed geometry.

Properties
formation energy from raw total energies = 503 meV per atom
SG = No. 221
volume = 116.2 Å³/f.u.
total magnetization = 0.00 Bohr magnetons per cell
mass density = 4.23 g cm⁻³

Lattice parameters (Å, degrees): 4.8792 4.8792 4.8792 90.00 90.00 90.00
Last column: nearest neighbours and their distance in Å.
Fractional positions:
Se1 0.0000 0.5000 0.0000  2 S 2.44
Se2 0.0000 0.0000 0.5000  2 S 2.44
Se3 0.5000 0.0000 0.0000  2 S 2.44
S1 0.0000 0.0000 0.0000  6 Se 2.44
Al1 0.5000 0.5000 0.5000  12 Se 3.45


No. 3
A plane-wave DFT calculation with PBE-GGA was carried out for crystalline TbCd2Pt6 at its relaxed geometry.

Properties
SG = No. 225
energy relative to the elements = 111 meV per atom
volume = 185.1 Å³/f.u.
total magnetization = 0.00 Bohr magnetons per cell
mass density = 13.94 g cm⁻³

Lattice parameters (Å, degrees): 6.3974 6.3974 6.3974 60.00 60.00 60.00
Last column: nearest neighbours and their distance in Å.
Fractional positions:
Tb1 0.0000 0.0000 0.0000  6 Pt 2.61
Cd1 0.2500 0.2500 0.2500  12 Pt 3.22
Cd2 0.7500 0.7500 0.7500  12 Pt 3.22
Pt1 0.7121 0.7121 0.2879  1 Tb 2.61, 4 Pt 2.71
Pt2 0.7121 0.2879 0.7121  1 Tb 2.61, 4 Pt 2.71
Pt3 0.2879 0.7121 0.7121  1 Tb 2.61, 4 Pt 2.71
Pt4 0.2879 0.7121 0.2879  1 Tb 2.61, 4 Pt 2.71
Pt5 0.7121 0.2879 0.2879  1 Tb 2.61, 4 Pt 2.71
Pt6 0.2879 0.2879 0.7121  1 Tb 2.61, 4 Pt 2.71


No. 4
A plane-wave DFT calculation with PBE-GGA was carried out for crystalline CeCu5Pd at its relaxed geometry.

Properties
SG = No. 62
energy relative to the elements = -226 meV per atom
volume = 105.8 Å³/f.u.
total magnetization = 2.69 Bohr magnetons per cell
mass density = 8.85 g cm⁻³

Lattice parameters (Å, degrees): 5.0471 8.1512 10.2884 90.00 90.00 90.00
Last column: nearest neighbours and their distance in Å.
Fractional positions:
Cu1 0.0025 0.5665 0.8132  7 Cu 2.46-2.55, 2 Pd 2.74-2.75
Cu2 0.9975 0.9335 0.3132  7 Cu 2.46-2.55, 2 Pd 2.74-2.75
Cu3 0.2500 0.6839 0.2518  7 Cu 2.47-2.60
Cu4 0.4975 0.5665 0.8132  7 Cu 2.46-2.55, 2 Pd 2.74-2.75
Cu5 0.7500 0.0580 0.8967  4 Cu 2.47-2.60, 1 Pd 2.60
Cu6 0.9975 0.4335 0.1868  7 Cu 2.46-2.55, 2 Pd 2.74-2.75
Cu7 0.5025 0.4335 0.1868  7 Cu 2.46-2.55, 2 Pd 2.74-2.75
Cu8 0.4975 0.0665 0.6868  7 Cu 2.46-2.55, 2 Pd 2.74-2.75
Cu9 0.0025 0.0665 0.6868  7 Cu 2.46-2.55, 2 Pd 2.74-2.75
Cu10 0.7500 0.8161 0.7518  7 Cu 2.47-2.60
Cu11 0.2500 0.0971 0.4828  5 Cu 2.46-2.54, 1 Pd 2.70
Cu12 0.2500 0.1839 0.2482  7 Cu 2.47-2.60
Cu13 0.5025 0.9335 0.3132  7 Cu 2.46-2.55, 2 Pd 2.74-2.75
Cu14 0.2500 0.5971 0.0172  5 Cu 2.46-2.54, 1 Pd 2.70
Cu15 0.7500 0.5580 0.6033  4 Cu 2.47-2.60, 1 Pd 2.60
Cu16 0.7500 0.3161 0.7482  7 Cu 2.47-2.60
Cu17 0.2500 0.9420 0.1033  4 Cu 2.47-2.60, 1 Pd 2.60
Cu18 0.7500 0.4029 0.9828  5 Cu 2.46-2.54, 1 Pd 2.70
Cu19 0.7500 0.9029 0.5172  5 Cu 2.46-2.54, 1 Pd 2.70
Cu20 0.2500 0.4420 0.3967  4 Cu 2.47-2.60, 1 Pd 2.60
Ce1 0.7500 0.7605 0.0670  12 Cu 2.90-3.22, 2 Pd 3.16-3.18
Ce2 0.2500 0.2395 0.9330  12 Cu 2.90-3.22, 2 Pd 3.16-3.18
Ce3 0.2500 0.7395 0.5670  12 Cu 2.90-3.22, 2 Pd 3.16-3.18
Ce4 0.7500 0.2605 0.4330  12 Cu 2.90-3.22, 2 Pd 3.16-3.18
Pd1 0.2500 0.3611 0.6416  8 Cu 2.60-2.78
Pd2 0.2500 0.8611 0.8584  8 Cu 2.60-2.78
Pd3 0.7500 0.6389 0.3584  8 Cu 2.60-2.78
Pd4 0.7500 0.1389 0.1416  8 Cu 2.60-2.78


No. 5
A plane-wave DFT calculation with PBE-GGA was carried out for crystalline Pr2HSe at its relaxed geometry.

Properties
SG = No. 166
volume = 92.2 Å³/f.u.
total magnetization = 0.56 Bohr magnetons per cell
mass density = 6.51 g cm⁻³
energy = -5.111 eV per atom

Lattice parameters (Å, degrees): 3.9420 3.9420 7.2227 74.16 74.16 60.00
Last column: nearest neighbours and their distance in Å.
Fractional positions:
H1 0.0000 0.0000 0.0000  6 Pr 2.72
Pr1 0.7395 0.7395 0.7816  3 H 2.72, 3 Se 2.98
Pr2 0.2605 0.2605 0.2184  3 H 2.72, 3 Se 2.98
Se1 0.5000 0.5000 0.5000  6 Pr 2.98


No. 6
A plane-wave DFT calculation with PBE-GGA was carried out for crystalline La4NiOsI2 at its relaxed geometry.

Properties
formation energy from raw total energies = -759 meV per atom
SG = No. 10
volume = 254.7 Å³/f.u.
total magnetization = 0.00 Bohr magnetons per cell
mass density = 6.90 g cm⁻³

Lattice parameters (Å, degrees): 4.2301 7.2763 8.6301 106.52 90.00 90.00
Last column: nearest neighbours and their distance in Å.
Fractional positions:
La1 0.0000 0.7233 0.1878  2 Os 2.87, 1 Ni 2.92
La2 0.5000 0.2330 0.1823  1 Os 2.83, 2 Ni 2.88
La3 0.5000 0.7670 0.8177  1 Os 2.83, 2 Ni 2.88
La4 0.0000 0.2767 0.8122  2 Os 2.87, 1 Ni 2.92
I1 0.0000 0.5000 0.5000  6 La 3.52-3.57
I2 0.5000 0.0000 0.5000  6 La 3.56-3.61
Os1 0.5000 0.5000 0.0000  6 La 2.83-2.87
Ni1 0.0000 0.0000 0.0000  6 La 2.88-2.92


No. 7
A plane-wave DFT calculation with PBE-GGA was carried out for crystalline Ta3ZnGe at its relaxed geometry.

Properties
SG = No. 221
energy relative to the elements = 1144 meV per atom
volume = 105.9 Å³/f.u.
total magnetization = 0.00 Bohr magnetons per cell
mass density = 10.67 g cm⁻³

Lattice parameters (Å, degrees): 4.7316 4.7316 4.7316 90.00 90.00 90.00
Last column: nearest neighbours and their distance in Å.
Fractional positions:
Ta1 0.5000 0.0000 0.0000  2 Ge 2.37
Ta2 0.0000 0.0000 0.5000  2 Ge 2.37
Ta3 0.0000 0.5000 0.0000  2 Ge 2.37
Ge1 0.0000 0.0000 0.0000  6 Ta 2.37
Zn1 0.5000 0.5000 0.5000  12 Ta 3.35


No. 8
A plane-wave DFT calculation with PBE-GGA was carried out for crystalline AlCuNi at its relaxed geometry.

Properties
SG = No. 10
energy relative to the elements = -160 meV per atom
volume = 43.5 Å³/f.u.
total magnetization = 0.00 Bohr magnetons per cell
mass density = 5.70 g cm⁻³

Lattice parameters (Å, degrees): 5.7044 4.0863 2.6679 90.00 90.00 44.36
Last column: nearest neighbours and their distance in Å.
Fractional positions:
Ni1 0.0000 0.0000 0.5000  4 Al 2.40, 4 Cu 2.44, 2 Ni 2.67
Cu1 0.0000 0.5000 0.0000  4 Ni 2.44, 2 Cu 2.67
Al1 0.5000 0.5000 0.0000  4 Ni 2.40, 2 Al 2.67


No. 9
A plane-wave DFT calculation with PBE-GGA was carried out for crystalline RbAcPb2O5 at its relaxed geometry.

Properties
formation energy from raw total energies = -1729 meV per atom
SG = No. 123
volume = 173.5 Å³/f.u.
total magnetization = 0.00 Bohr magnetons per cell
mass density = 7.72 g cm⁻³

Lattice parameters (Å, degrees): 4.3572 4.3572 9.1365 90.00 90.00 90.00
Last column: nearest neighbours and their distance in Å.
Fractional positions:
O1 0.5000 0.0000 0.1665  2 Pb 2.32
O2 0.0000 0.5000 0.1665  2 Pb 2.32
O3 0.5000 0.5000 0.5000  2 Pb 2.24
O4 0.0000 0.5000 0.8335  2 Pb 2.32
O5 0.5000 0.0000 0.8335  2 Pb 2.32
Ac1 0.0000 0.0000 0.0000  8 O 2.66
Pb1 0.5000 0.5000 0.2549  5 O 2.24-2.32
Pb2 0.5000 0.5000 0.7451  5 O 2.24-2.32
Rb1 0.0000 0.0000 0.5000  4 O 3.08


No. 10
A plane-wave DFT calculation with PBE-GGA was carried out for crystalline Pu4AgSn3 at its relaxed geometry.

Properties
SG = No. 47
energy relative to the elements = -227 meV per atom
volume = 206.9 Å³/f.u.
total magnetization = 11.71 Bohr magnetons per cell
mass density = 11.56 g cm⁻³

Lattice parameters (Å, degrees): 3.1028 5.7793 11.5378 90.00 90.00 90.00
Last column: nearest neighbours and their distance in Å.
Fractional positions:
Sn1 0.5000 0.0000 0.7541  2 Sn 3.10, 8 Pu 3.23-3.32
Sn2 0.5000 0.0000 0.2459  2 Sn 3.10, 8 Pu 3.23-3.32
Sn3 0.5000 0.5000 0.5000  2 Sn 3.10, 8 Pu 3.28-3.29
Pu1 0.0000 0.5000 0.7519  2 Pu 3.10, 2 Ag 3.26, 6 Sn 3.28-3.29
Pu2 0.0000 0.5000 0.2481  2 Pu 3.10, 2 Ag 3.26, 6 Sn 3.28-3.29
Pu3 0.0000 0.0000 0.0000  2 Pu 3.10, 4 Sn 3.23, 4 Ag 3.28
Pu4 0.0000 0.0000 0.5000  2 Pu 3.10, 8 Sn 3.28-3.32
Ag1 0.5000 0.5000 0.0000  2 Ag 3.10, 8 Pu 3.26-3.28


no.,density of states at the Fermi level (states/eV/atom)
1,1.5271
2,0.7348
3,0.8555
4,1.0656
5,0.8063
6,0.3303
7,1.5762
8,0.4835
9,0.4286
10,4.1589